LaTa2Re after structural relaxation. Source: Alexandria, functional PBE.

For the calculated formation energy, the calculation gives 0.678 eV/atom. The total magnetization comes out at 0.0 μB/cell. The calculation puts the total DFT energy (no corrections) at -9.593 eV/atom. As for the theoretical density: 14.31 g/cm³.

a b c (Å): 5.5576 10.0686 2.8487
angles (deg): 90.00 90.00 90.00
Closest atoms and distances in Å follow each position.
Element x y z (fractional)
La 0.0000 0.0000 0.0000  2 Re 2.78, 2 La 2.85
La 0.5000 0.5000 0.0000  2 Re 2.78, 2 La 2.85
Ta 0.2500 0.2500 0.5000  4 Ta 2.78-2.85
Ta 0.2500 0.7500 0.5000  4 Ta 2.78-2.85
Ta 0.7500 0.2500 0.5000  4 Ta 2.78-2.85
Ta 0.7500 0.7500 0.5000  4 Ta 2.78-2.85
Re 0.0000 0.5000 0.0000  2 La 2.78, 2 Re 2.85
Re 0.5000 0.0000 0.0000  2 La 2.78, 2 Re 2.85

La2TaReTc after structural relaxation. Source: Alexandria, functional PBE.

For the calculated formation energy, the calculation gives 1.284 eV/atom. The total magnetization comes out at 0.3 μB/cell. The calculation puts the total DFT energy (no corrections) at -7.621 eV/atom. As for the theoretical density: 8.88 g/cm³.

a b c (Å): 5.4337 5.4337 4.7031
angles (deg): 90.00 90.00 90.00
Closest atoms and distances in Å follow each position.
Element x y z (fractional)
La 0.0000 0.5000 0.0000  2 Re 2.72
La 0.5000 0.0000 0.0000  2 Re 2.72
Ta 0.0000 0.0000 0.5000  8 La 3.59, 4 Tc 3.84
Re 0.5000 0.5000 0.0000  2 Tc 2.35
Tc 0.5000 0.5000 0.5000  2 Re 2.35

LaReTc2 after structural relaxation. Source: Alexandria, functional PBE.

For the calculated formation energy, the calculation gives 0.577 eV/atom. The total magnetization comes out at 0.0 μB/cell. The calculation puts the total DFT energy (no corrections) at -8.950 eV/atom. As for the theoretical density: 12.08 g/cm³.

a b c (Å): 4.7491 4.7491 3.1753
angles (deg): 90.00 90.00 90.00
Closest atoms and distances in Å follow each position.
Element x y z (fractional)
La 0.0000 0.0000 0.0000  8 Tc 2.86, 2 La 3.18
Re 0.5000 0.5000 0.0000  8 Tc 2.86, 2 Re 3.18
Tc 0.0000 0.5000 0.5000  4 Re 2.86, 4 La 2.86, 2 Tc 3.18
Tc 0.5000 0.0000 0.5000  4 Re 2.86, 4 La 2.86, 2 Tc 3.18

LaReTc2 after structural relaxation. Source: Alexandria, functional PBE.

For the calculated formation energy, the calculation gives 0.442 eV/atom. The total magnetization comes out at 0.0 μB/cell. The calculation puts the total DFT energy (no corrections) at -9.085 eV/atom. As for the theoretical density: 10.94 g/cm³.

a b c (Å): 9.5225 3.0974 5.6013
angles (deg): 90.00 106.81 90.00
Closest atoms and distances in Å follow each position.
Element x y z (fractional)
La 0.0000 0.0000 0.0000  2 La 3.10, 7 Tc 3.15-3.21, 3 Re 3.19-3.27
La 0.5000 0.5000 0.0000  2 La 3.10, 7 Tc 3.15-3.21, 3 Re 3.19-3.27
Re 0.2231 0.0000 0.6524  4 Tc 2.54-2.57
Re 0.7231 0.5000 0.6524  4 Tc 2.54-2.57
Tc 0.0037 0.5000 0.5042  2 Re 2.54, 2 Tc 2.58
Tc 0.2815 0.5000 0.3276  2 Re 2.57, 2 Tc 2.58
Tc 0.5037 0.0000 0.5042  2 Re 2.54, 2 Tc 2.58
Tc 0.7815 0.0000 0.3276  2 Re 2.57, 2 Tc 2.58

LaReTc2 after structural relaxation. Source: Alexandria, functional PBE.

For the calculated formation energy, the calculation gives 0.530 eV/atom. The total magnetization comes out at 0.0 μB/cell. The calculation puts the total DFT energy (no corrections) at -8.997 eV/atom. As for the theoretical density: 11.76 g/cm³.

a b c (Å): 3.0761 4.9719 9.6199
angles (deg): 90.00 90.00 90.00
Closest atoms and distances in Å follow each position.
Element x y z (fractional)
La 0.0000 0.0000 0.0000  8 Tc 2.92-3.27, 2 La 3.08, 4 Re 3.11-3.26
La 0.5000 0.5000 0.5000  8 Tc 2.92-3.27, 2 La 3.08, 4 Re 3.11-3.26
Re 0.0000 0.5000 0.7813  2 Tc 2.59
Re 0.5000 0.0000 0.2813  2 Tc 2.59
Tc 0.0000 0.0000 0.4983  2 Re 2.59, 2 Tc 2.63
Tc 0.0000 0.5000 0.2206  2 Tc 2.63
Tc 0.5000 0.0000 0.7206  2 Tc 2.63
Tc 0.5000 0.5000 0.9983  2 Re 2.59, 2 Tc 2.63

LaReTc2 after structural relaxation. Source: Alexandria, functional PBE.

For the calculated formation energy, the calculation gives 0.513 eV/atom. The total magnetization comes out at 0.0 μB/cell. The calculation puts the total DFT energy (no corrections) at -9.014 eV/atom. As for the theoretical density: 11.50 g/cm³.

a b c (Å): 3.1253 5.1658 9.3178
angles (deg): 90.00 90.00 90.00
Closest atoms and distances in Å follow each position.
Element x y z (fractional)
La 0.0000 0.0000 0.0000  4 Re 3.02, 8 Tc 3.06-3.28, 2 La 3.13
La 0.5000 0.5000 0.5000  4 Re 3.02, 8 Tc 3.06-3.28, 2 La 3.13
Re 0.0000 0.0000 0.5000  4 Tc 2.56
Re 0.5000 0.5000 0.0000  4 Tc 2.56
Tc 0.0000 0.5000 0.2172  2 Re 2.56
Tc 0.0000 0.5000 0.7828  2 Re 2.56
Tc 0.5000 0.0000 0.2828  2 Re 2.56
Tc 0.5000 0.0000 0.7172  2 Re 2.56

La4ReTc after structural relaxation. Source: Alexandria, functional PBE.

For the calculated formation energy, the calculation gives 1.296 eV/atom. The total magnetization comes out at 2.2 μB/cell. The calculation puts the total DFT energy (no corrections) at -5.792 eV/atom. As for the theoretical density: 8.76 g/cm³.

a b c (Å): 6.0824 6.0824 6.0824
angles (deg): 60.00 60.00 60.00
Closest atoms and distances in Å follow each position.
Element x y z (fractional)
La 0.1247 0.1247 0.1247  6 La 3.03-3.05
La 0.1247 0.1247 0.6258  6 La 3.03-3.05
La 0.1247 0.6258 0.1247  6 La 3.03-3.05
La 0.6258 0.1247 0.1247  6 La 3.03-3.05
Re 0.7500 0.7500 0.7500  12 La 3.57, 4 Tc 3.72
Tc 0.5000 0.5000 0.5000  12 La 3.57, 4 Re 3.72

La2Re2Tc after structural relaxation. Source: Alexandria, functional PBE.

For the calculated formation energy, the calculation gives 1.371 eV/atom. The total magnetization comes out at 3.1 μB/cell. The calculation puts the total DFT energy (no corrections) at -7.652 eV/atom. As for the theoretical density: 11.41 g/cm³.

a b c (Å): 8.4743 8.4743 3.0334
angles (deg): 90.00 90.00 90.00
Closest atoms and distances in Å follow each position.
Element x y z (fractional)
La 0.1276 0.3724 0.0000  2 Re 2.73, 2 La 3.03
La 0.3724 0.8724 0.0000  2 Re 2.73, 2 La 3.03
La 0.6276 0.1276 0.0000  2 Re 2.73, 2 La 3.03
La 0.8724 0.6276 0.0000  2 Re 2.73, 2 La 3.03
Re 0.1832 0.6832 0.5000  2 La 2.73, 2 Re 3.03
Re 0.3168 0.1832 0.5000  2 La 2.73, 2 Re 3.03
Re 0.6832 0.8168 0.5000  2 La 2.73, 2 Re 3.03
Re 0.8168 0.3168 0.5000  2 La 2.73, 2 Re 3.03
Tc 0.0000 0.0000 0.0000  2 Tc 3.03, 4 La 3.34
Tc 0.5000 0.5000 0.0000  2 Tc 3.03, 4 La 3.34

LaReTc2 after structural relaxation. Source: Alexandria, functional PBE.

For the calculated formation energy, the calculation gives 0.595 eV/atom. The total magnetization comes out at 0.0 μB/cell. The calculation puts the total DFT energy (no corrections) at -8.931 eV/atom. As for the theoretical density: 12.26 g/cm³.

a b c (Å): 5.9125 8.9638 2.8532
angles (deg): 90.00 111.01 90.00
Closest atoms and distances in Å follow each position.
Element x y z (fractional)
La 0.0000 0.0000 0.0000  4 Tc 2.78, 2 La 2.85, 2 Re 2.96
La 0.5000 0.5000 0.0000  4 Tc 2.78, 2 La 2.85, 2 Re 2.96
Re 0.0000 0.5000 0.0000  4 Tc 2.78, 2 Re 2.85, 2 La 2.96
Re 0.5000 0.0000 0.0000  4 Tc 2.78, 2 Re 2.85, 2 La 2.96
Tc 0.2500 0.2500 0.5000  2 La 2.78, 2 Re 2.78, 4 Tc 2.85-2.96
Tc 0.2500 0.7500 0.5000  2 La 2.78, 2 Re 2.78, 4 Tc 2.85-2.96
Tc 0.7500 0.2500 0.5000  2 La 2.78, 2 Re 2.78, 4 Tc 2.85-2.96
Tc 0.7500 0.7500 0.5000  2 La 2.78, 2 Re 2.78, 4 Tc 2.85-2.96

LaReTc2 after structural relaxation. Source: Alexandria, functional PBE.

For the calculated formation energy, the calculation gives 0.387 eV/atom. The total magnetization comes out at 0.0 μB/cell. The calculation puts the total DFT energy (no corrections) at -9.140 eV/atom. As for the theoretical density: 10.91 g/cm³.

a b c (Å): 9.2776 3.1266 5.7294
angles (deg): 90.00 107.41 90.00
Closest atoms and distances in Å follow each position.
Element x y z (fractional)
La 0.0000 0.0000 0.0000  2 La 3.13, 6 Tc 3.13-3.20, 4 Re 3.26
La 0.5000 0.5000 0.0000  2 La 3.13, 6 Tc 3.13-3.20, 4 Re 3.26
Re 0.0000 0.5000 0.5000  4 Tc 2.53
Re 0.5000 0.0000 0.5000  4 Tc 2.53
Tc 0.2215 0.0000 0.6658  2 Re 2.53, 2 Tc 2.63
Tc 0.2785 0.5000 0.3342  2 Re 2.53, 2 Tc 2.63
Tc 0.7215 0.5000 0.6658  2 Re 2.53, 2 Tc 2.63
Tc 0.7785 0.0000 0.3342  2 Re 2.53, 2 Tc 2.63

LaRe2Tc after structural relaxation. Source: Alexandria, functional PBE.

For the calculated formation energy, the calculation gives 0.857 eV/atom. The total magnetization comes out at 0.0 μB/cell. The calculation puts the total DFT energy (no corrections) at -9.190 eV/atom. As for the theoretical density: 12.39 g/cm³.

a b c (Å): 7.6331 7.6331 5.6057
angles (deg): 90.00 90.00 90.00
Closest atoms and distances in Å follow each position.
Element x y z (fractional)
La 0.0000 0.0000 0.0000  2 Tc 2.80, 4 Re 3.09
La 0.0000 0.5000 0.2500  2 Tc 2.80, 4 Re 3.09
La 0.5000 0.0000 0.7500  2 Tc 2.80, 4 Re 3.09
La 0.5000 0.5000 0.5000  2 Tc 2.80, 4 Re 3.09
Re 0.1946 0.2500 0.6250  2 Tc 2.52
Re 0.2500 0.6946 0.8750  2 Tc 2.52
Re 0.2500 0.8054 0.3750  2 Tc 2.52
Re 0.3054 0.2500 0.1250  2 Tc 2.52
Re 0.6946 0.7500 0.1250  2 Tc 2.52
Re 0.7500 0.1946 0.3750  2 Tc 2.52
Re 0.7500 0.3054 0.8750  2 Tc 2.52
Re 0.8054 0.7500 0.6250  2 Tc 2.52
Tc 0.0000 0.0000 0.5000  4 Re 2.52, 2 La 2.80
Tc 0.0000 0.5000 0.7500  4 Re 2.52, 2 La 2.80
Tc 0.5000 0.0000 0.2500  4 Re 2.52, 2 La 2.80
Tc 0.5000 0.5000 0.0000  4 Re 2.52, 2 La 2.80

La2ReTc2 after structural relaxation. Source: Alexandria, functional PBE.

For the calculated formation energy, the calculation gives 0.205 eV/atom. The total magnetization comes out at 0.0 μB/cell. The calculation puts the total DFT energy (no corrections) at -8.402 eV/atom. As for the theoretical density: 9.92 g/cm³.

a b c (Å): 6.5866 6.5866 5.0932
angles (deg): 90.00 90.00 90.00
Closest atoms and distances in Å follow each position.
Element x y z (fractional)
La 0.1812 0.3188 0.0000  6 Tc 3.07-3.30, 5 La 3.38-3.42
La 0.3188 0.8188 0.0000  6 Tc 3.07-3.30, 5 La 3.38-3.42
La 0.6812 0.1812 0.0000  6 Tc 3.07-3.30, 5 La 3.38-3.42
La 0.8188 0.6812 0.0000  6 Tc 3.07-3.30, 5 La 3.38-3.42
Re 0.0000 0.0000 0.5000  4 Tc 2.56
Re 0.5000 0.5000 0.5000  4 Tc 2.56
Tc 0.1351 0.6351 0.5000  1 Tc 2.52, 2 Re 2.56
Tc 0.3649 0.1351 0.5000  1 Tc 2.52, 2 Re 2.56
Tc 0.6351 0.8649 0.5000  1 Tc 2.52, 2 Re 2.56
Tc 0.8649 0.3649 0.5000  1 Tc 2.52, 2 Re 2.56